Record 1
Compound: RbAg3GeO4
Source: OQMD
Functional: PBE-GGA
Structure: relaxed

Cell: 5.721 5.721 5.721 Å, 90.00 90.00 90.00°
Positions (direct):
Rb1 0.000 0.000 0.000
Ag1 0.000 0.500 0.500
Ag2 0.500 0.000 0.500
Ag3 0.500 0.500 0.000
Ge1 0.500 0.500 0.500
O1 0.318 0.318 0.318
O2 0.318 0.682 0.682
O3 0.682 0.318 0.682
O4 0.682 0.682 0.318

Summary:
Its space group is No. 215. Its total DFT energy (no corrections) is -0.33148 Ry per atom.

---

Record 2
Compound: AgGeSeO
Source: OQMD
Functional: PBE-GGA
Structure: relaxed

Cell: 5.369 8.367 8.444 Å, 90.00 90.00 90.00°
Positions (direct):
Ag1 0.248 0.216 0.037
Ag2 0.252 0.784 0.537
Ag3 0.748 0.284 0.963
Ag4 0.752 0.716 0.463
Ge1 0.150 0.707 0.109
Ge2 0.350 0.293 0.609
Ge3 0.650 0.793 0.891
Ge4 0.850 0.207 0.391
Se1 0.016 0.916 0.310
Se2 0.484 0.084 0.810
Se3 0.516 0.584 0.690
Se4 0.984 0.416 0.190
O1 0.022 0.264 0.568
O2 0.478 0.736 0.068
O3 0.522 0.236 0.432
O4 0.978 0.764 0.932

Summary:
Its space group is No. 19. Its total DFT energy (no corrections) is -0.33288 Ry per atom.